This record from the Alexandria database describes Nd2Ho3In3 after structural relaxation. The functional is PBE.

Offset from the most stable computed form ... 3 meV per atom
Total moment ... 0.0 Bohr magnetons per cell
Energy of formation ... -345 meV per atom
Crystal system ... orthorhombic

```
Nd2Ho3In3
1.0
-2.2708 2.4450 10.1717
2.2708 -2.4450 10.1717
2.2708 2.4450 -10.1717
Nd Ho In
2 3 3
direct
0.2402 0.2402 0.0000
0.7598 0.7598 0.0000
0.0000 0.0000 0.0000
0.3833 0.8833 0.5000
0.6167 0.1167 0.5000
0.1215 0.6215 0.5000
0.5000 0.5000 0.0000
0.8785 0.3785 0.5000
```